(1)
## AlInHgSe4 (PBE)

Data for AlInHgSe4 after structural relaxation.

Unit cell a=6.9990 b=6.9990 c=6.9990 alpha=129.48 beta=129.48 gamma=74.24
Atoms (fractional coordinates):
1 Al 0.7500 0.2500 0.5000
2 Hg 0.0000 0.0000 0.0000
3 In 0.5000 0.5000 0.0000
4 Se 0.1117 0.6015 0.0060
5 Se 0.8942 0.8883 0.4898
6 Se 0.3985 0.4044 0.5102
7 Se 0.5956 0.1058 0.9940

Computed properties:
DFT total energy (eV per atom): -3.54
V (Å³ per atom): 28.45
Space group: I-4, No. 82


(2)
## AlInHgTe2Se2 (PBE)

Data for AlInHgTe2Se2 after structural relaxation.

Unit cell a=6.0245 b=6.0853 c=7.2924 alpha=113.39 beta=113.80 gamma=90.07
Atoms (fractional coordinates):
1 Al 0.9980 0.0174 0.9985
2 Hg 0.5007 0.4938 0.0023
3 In 0.7668 0.2450 0.4999
4 Se 0.9163 0.3719 0.2527
5 Se 0.1260 0.0888 0.7483
6 Te 0.3385 0.8740 0.2727
7 Te 0.6038 0.6591 0.7255

Computed properties:
DFT total energy (eV per atom): -3.32
V (Å³ per atom): 31.47
Space group: P1, No. 1


(3)
## AlInHgTeSe3 (PBE)

Data for AlInHgTeSe3 after structural relaxation.

Unit cell a=5.9315 b=5.9790 c=7.1329 alpha=113.44 beta=113.83 gamma=90.94
Atoms (fractional coordinates):
1 Al 0.9971 0.0135 0.0095
2 Hg 0.5035 0.4955 0.9995
3 In 0.7409 0.2370 0.4941
4 Se 0.9197 0.8815 0.2631
5 Se 0.3408 0.3781 0.2643
6 Se 0.6192 0.0785 0.7458
7 Te 0.1288 0.6659 0.7237

Computed properties:
DFT total energy (eV per atom): -3.43
V (Å³ per atom): 29.65
Space group: P1, No. 1


(4)
## AlInHgTe2Se2 (PBE)

Data for AlInHgTe2Se2 after structural relaxation.

Unit cell a=7.3056 b=7.3056 c=6.0519 alpha=113.68 beta=113.68 gamma=108.93
Atoms (fractional coordinates):
1 Al 0.9893 0.0107 0.0000
2 Hg 0.5013 0.4987 0.0000
3 In 0.7568 0.2432 0.5000
4 Se 0.1113 0.3740 0.0253
5 Se 0.6260 0.8887 0.9747
6 Te 0.3317 0.0663 0.4627
7 Te 0.9337 0.6683 0.5373

Computed properties:
DFT total energy (eV per atom): -3.31
V (Å³ per atom): 31.55
Space group: C2, No. 5


(5)
## AlInHgTe4 (PBE)

Data for AlInHgTe4 after structural relaxation.

Unit cell a=7.6181 b=7.6181 c=7.6181 alpha=131.48 beta=131.48 gamma=71.05
Atoms (fractional coordinates):
1 Al 0.5000 0.5000 0.0000
2 Hg 0.0000 0.0000 0.0000
3 In 0.7500 0.2500 0.5000
4 Te 0.1593 0.6274 0.0520
5 Te 0.8928 0.8407 0.4682
6 Te 0.3726 0.4246 0.5318
7 Te 0.5754 0.1072 0.9480

Computed properties:
DFT total energy (eV per atom): -3.11
V (Å³ per atom): 34.71
Space group: I-4, No. 82


(6)
## AlHgIr2 (PBE)

Data for AlHgIr2 after structural relaxation.

Unit cell a=4.5076 b=4.5076 c=4.5076 alpha=60.00 beta=60.00 gamma=60.00
Each line ends with the local moment (μB).
Atoms (fractional coordinates):
1 Al 0.5000 0.5000 0.5000  0.00
2 Hg 0.2500 0.2500 0.2500  0.00
3 Ir 0.0000 0.0000 0.0000  0.30
4 Ir 0.7500 0.7500 0.7500  0.30

Computed properties:
DFT total energy (eV per atom): -5.17
V (Å³ per atom): 16.19
Space group: F-43m, No. 216


(7)
## Al2HgIr (PBE)

Data for Al2HgIr after structural relaxation.

Unit cell a=4.5569 b=4.5569 c=4.5569 alpha=60.00 beta=60.00 gamma=60.00
Atoms (fractional coordinates):
1 Al 0.0000 0.0000 0.0000
2 Al 0.7500 0.7500 0.7500
3 Hg 0.5000 0.5000 0.5000
4 Ir 0.2500 0.2500 0.2500

Computed properties:
DFT total energy (eV per atom): -4.01
V (Å³ per atom): 16.73
Space group: F-43m, No. 216


(8)
## AlHgIr (PBE)

Data for AlHgIr after structural relaxation.

Unit cell a=4.3802 b=4.3802 c=4.3802 alpha=60.00 beta=60.00 gamma=60.00
Atoms (fractional coordinates):
1 Al 0.2500 0.2500 0.2500
2 Hg 0.7500 0.7500 0.7500
3 Ir 0.0000 0.0000 0.0000

Computed properties:
DFT total energy (eV per atom): -4.29
V (Å³ per atom): 19.81
Space group: F-43m, No. 216